1.
Entry from the Alexandria database: a geometry-optimized Si2SnRh structure (PBE).

Lattice parameters (Å, degrees): 5.718 5.718 11.342 90.00 90.00 90.00
Space group I-42d (No. 122)
Unique sites:
Si: 0.194 0.250 0.125 (multiplicity 8)
Sn: 0.000 0.000 0.500 (multiplicity 4)
Rh: 0.000 0.000 0.000 (multiplicity 4)

Output
Total energy = -87.6 eV per cell
Crystal system = tetragonal
ΔE_f (raw) = 0.075 eV/atom
Spin magnetization = 0.000 μB/atom

2.
Entry from the Alexandria database: a geometry-optimized PuIn2Sb structure (PBE).

Lattice parameters (Å, degrees): 4.522 4.522 4.983 90.00 90.00 90.00
Space group P4/mmm (No. 123)
Unique sites:
Pu: 0.000 0.000 0.000 (multiplicity 1)
In: 0.000 0.500 0.500 (multiplicity 2)
Sb: 0.500 0.500 0.000 (multiplicity 1)

Output
Total energy = -25.3 eV per cell
Crystal system = tetragonal
ΔE_f (raw) = -0.344 eV/atom
Spin magnetization = 1.364 μB/atom
Offset from the most stable computed form = 0.00 kcal/mol of atoms

3.
Entry from the Alexandria database: a geometry-optimized Ac7Zn2Ga2 structure (PBE).

Lattice parameters (Å, degrees): 8.325 12.018 7.959 90.00 90.00 90.00
Space group Cmmm (No. 65)
Unique sites:
Ac: 0.000 0.000 0.000 (multiplicity 2)
Ac: 0.000 0.500 0.265 (multiplicity 4)
Ac: 0.250 0.250 0.281 (multiplicity 8)
Zn: 0.000 0.296 0.000 (multiplicity 4)
Ga: 0.156 0.000 0.500 (multiplicity 4)

Output
Formation enthalpy at 0 K = -0.04 eV/atom
Total energy = -75.5 eV per cell
Crystal system = orthorhombic
Spin magnetization = 0.000 μB/atom

4.
Entry from the Alexandria database: a geometry-optimized Cr2OsPb structure (PBE).

Lattice parameters (Å, degrees): 3.0116 3.0116 26.3703 90.00 90.00 120.00
Space group R-3m (No. 166, hexagonal axes)
Unique sites:
Cr: 0.0000 0.0000 0.2395 (multiplicity 6)
Os: 0.0000 0.0000 0.5000 (multiplicity 3)
Pb: 0.0000 0.0000 0.0000 (multiplicity 3)

Output
Formation enthalpy at 0 K = 0.73 eV/atom
Total energy = -93.8 eV per cell
Crystal system = trigonal
Spin magnetization = 1.299 μB/atom

5.
Entry from the Alexandria database: a geometry-optimized YMgTl structure (PBE).

Lattice parameters (Å, degrees): 4.165 4.679 8.731 105.50 103.78 90.00
Space group P-1 (No. 2)
Unique sites:
Y: 0.168 0.168 0.337 (multiplicity 2)
Mg: 0.000 0.500 0.000 (multiplicity 1)
Mg: 0.500 0.000 0.000 (multiplicity 1)
Tl: 0.365 0.365 0.729 (multiplicity 2)

Output
Formation enthalpy at 0 K = -0.26 eV/atom
Total energy = -22.4 eV per cell
Crystal system = triclinic
Spin magnetization = 0.000 μB/atom

6.
Entry from the Alexandria database: a geometry-optimized TbSm6Tm8 structure (PBE).

Lattice parameters (Å, degrees): 9.4142 9.4142 6.4825 90.00 90.00 120.00
Space group P-3 (No. 147)
Unique sites:
Tb: 0.0000 0.0000 0.0000 (multiplicity 1)
Sm: 0.0918 0.6802 0.9096 (multiplicity 6)
Tm: 0.0233 0.3350 0.5971 (multiplicity 6)
Tm: 0.3333 0.6667 0.3464 (multiplicity 2)

Output
Formation enthalpy at 0 K = 0.24 eV/atom
Total energy = -65.1 eV per cell
Crystal system = trigonal
Spin magnetization = 0.000 μB/atom

7.
Entry from the Alexandria database: a geometry-optimized Ce4GaPb2 structure (PBE).

Lattice parameters (Å, degrees): 4.708 4.259 10.082 90.00 92.37 90.00
Space group Pm (No. 6)
Unique sites:
Ce: 0.000 0.000 0.000 (multiplicity 1)
Ce: 0.031 0.500 0.305 (multiplicity 1)
Ce: 0.437 0.500 0.518 (multiplicity 1)
Ce: 0.476 0.000 0.818 (multiplicity 1)
Ga: 0.502 0.500 0.040 (multiplicity 1)
Pb: 0.522 0.000 0.249 (multiplicity 1)
Pb: 0.950 0.000 0.592 (multiplicity 1)

Output
Formation enthalpy at 0 K = -0.22 eV/atom
Total energy = -35.7 eV per cell
Crystal system = monoclinic
Spin magnetization = 0.617 μB/atom

8.
Entry from the Alexandria database: a geometry-optimized La2CdGa4Pd3 structure (PBE).

Lattice parameters (Å, degrees): 4.372 4.372 10.814 90.00 90.00 90.00
Space group P-4m2 (No. 115)
Unique sites:
La: 0.000 0.500 0.237 (multiplicity 2)
Cd: 0.000 0.000 0.500 (multiplicity 1)
Ga: 0.000 0.000 0.000 (multiplicity 1)
Ga: 0.000 0.500 0.643 (multiplicity 2)
Ga: 0.500 0.500 0.000 (multiplicity 1)
Pd: 0.000 0.500 0.874 (multiplicity 2)
Pd: 0.500 0.500 0.500 (multiplicity 1)

Output
Formation enthalpy at 0 K = -0.72 eV/atom
Total energy = -45.7 eV per cell
Crystal system = tetragonal
Spin magnetization = 0.000 μB/atom

9.
Entry from the Alexandria database: a geometry-optimized Li4LaRe structure (PBE).

Lattice parameters (Å, degrees): 7.386 7.386 7.386 90.00 90.00 90.00
Space group F-43m (No. 216)
Unique sites:
Li: 0.120 0.120 0.120 (multiplicity 16)
La: 0.000 0.000 0.500 (multiplicity 4)
Re: 0.250 0.250 0.750 (multiplicity 4)

Output
Formation enthalpy at 0 K = 0.40 eV/atom
Total energy = -90.6 eV per cell
Crystal system = cubic
Spin magnetization = 0.000 μB/atom

10.
Entry from the Alexandria database: a geometry-optimized Mo3PtPb structure (PBE).

Lattice parameters (Å, degrees): 4.856 4.856 4.856 90.00 90.00 90.00
Space group Pm-3m (No. 221)
Unique sites:
Mo: 0.000 0.000 0.500 (multiplicity 3)
Pt: 0.000 0.000 0.000 (multiplicity 1)
Pb: 0.500 0.500 0.500 (multiplicity 1)

Output
Formation enthalpy at 0 K = 1.56 eV/atom
Total energy = -34.4 eV per cell
Crystal system = cubic
Spin magnetization = 0.528 μB/atom
Offset from the most stable computed form = 0.00 kcal/mol of atoms

11.
Entry from the Alexandria database: a geometry-optimized Rb3TlTc structure (PBE).

Lattice parameters (Å, degrees): 6.933 6.933 6.933 90.00 90.00 90.00
Space group Pm-3m (No. 221)
Unique sites:
Rb: 0.000 0.000 0.500 (multiplicity 3)
Tl: 0.000 0.000 0.000 (multiplicity 1)
Tc: 0.500 0.500 0.500 (multiplicity 1)

Output
Formation enthalpy at 0 K = 1.24 eV/atom
Total energy = -9.4 eV per cell
Crystal system = cubic
Spin magnetization = 0.908 μB/atom
Offset from the most stable computed form = 0.00 kcal/mol of atoms

12.
Entry from the Alexandria database: a geometry-optimized CsLaTeH2 structure (PBE).

Lattice parameters (Å, degrees): 4.4914 4.4914 25.1900 90.00 90.00 120.00
Space group R3m (No. 160, hexagonal axes)
Unique sites:
Cs: 0.0000 0.0000 0.0000 (multiplicity 3)
La: 0.0000 0.0000 0.4822 (multiplicity 3)
Te: 0.0000 0.0000 0.2219 (multiplicity 3)
H: 0.0000 0.0000 0.3921 (multiplicity 3)
H: 0.0000 0.0000 0.7924 (multiplicity 3)

Output
Total energy = -58.1 eV per cell
Crystal system = trigonal
Spin magnetization = 0.000 μB/atom
Offset from the most stable computed form = 2.16 kcal/mol of atoms

13.
Entry from the Alexandria database: a geometry-optimized LiTaW2 structure (PBE).

Lattice parameters (Å, degrees): 2.669 2.669 9.502 90.00 90.00 90.00
Space group P4mm (No. 99)
Unique sites:
Li: 0.000 0.000 0.000 (multiplicity 1)
Ta: 0.500 0.500 0.265 (multiplicity 1)
W: 0.000 0.000 0.512 (multiplicity 1)
W: 0.500 0.500 0.756 (multiplicity 1)

Output
Formation enthalpy at 0 K = 0.46 eV/atom
Total energy = -37.8 eV per cell
Crystal system = tetragonal
Spin magnetization = 0.000 μB/atom
Offset from the most stable computed form = 4.71 kcal/mol of atoms

14.
Entry from the Alexandria database: a geometry-optimized CaScO2 structure (PBE).

Lattice parameters (Å, degrees): 3.2125 3.2125 16.9601 90.00 90.00 120.00
Space group R3m (No. 160, hexagonal axes)
Unique sites:
Ca: 0.0000 0.0000 0.0000 (multiplicity 3)
Sc: 0.0000 0.0000 0.1742 (multiplicity 3)
O: 0.0000 0.0000 0.5785 (multiplicity 3)
O: 0.0000 0.0000 0.7640 (multiplicity 3)

Output
Total energy = -88.0 eV per cell
Crystal system = trigonal
ΔE_f (raw) = -2.772 eV/atom
Spin magnetization = 0.000 μB/atom

15.
Entry from the Alexandria database: a geometry-optimized Te3Ir structure (PBE).

Lattice parameters (Å, degrees): 12.507 3.938 7.202 90.00 124.79 90.00
Space group Cm (No. 8)
Unique sites:
Te: 0.000 0.000 0.000 (multiplicity 2)
Te: 0.002 0.000 0.520 (multiplicity 2)
Te: 0.268 0.500 0.028 (multiplicity 2)
Ir: 0.016 0.500 0.775 (multiplicity 2)

Output
Total energy = -35.7 eV per cell
Crystal system = monoclinic
ΔE_f (raw) = 0.111 eV/atom
Spin magnetization = 0.000 μB/atom

16.
Entry from the Alexandria database: a geometry-optimized I3Br structure (PBE).

Lattice parameters (Å, degrees): 8.103 8.103 8.103 90.00 90.00 90.00
Space group Fm-3m (No. 225)
Unique sites:
I: 0.000 0.000 0.000 (multiplicity 4)
I: 0.250 0.250 0.250 (multiplicity 8)
Br: 0.000 0.000 0.500 (multiplicity 4)

Output
Total energy = -17.4 eV per cell
Crystal system = cubic
ΔE_f (raw) = 0.496 eV/atom
Spin magnetization = 0.000 μB/atom
Offset from the most stable computed form = 8.28 kcal/mol of atoms

17.
Entry from the Alexandria database: a geometry-optimized PuScB2O6 structure (PBE).

Lattice parameters (Å, degrees): 4.9546 4.9546 16.5529 90.00 90.00 120.00
Space group R-3 (No. 148, hexagonal axes)
Unique sites:
Pu: 0.0000 0.0000 0.0000 (multiplicity 3)
Sc: 0.0000 0.0000 0.5000 (multiplicity 3)
B: 0.0000 0.0000 0.2423 (multiplicity 6)
O: 0.0287 0.2932 0.2441 (multiplicity 18)

Output
Total energy = -277.5 eV per cell
Crystal system = trigonal
ΔE_f (raw) = -2.873 eV/atom
Spin magnetization = 0.500 μB/atom

18.
Entry from the Alexandria database: a geometry-optimized GaH2OsO structure (PBE).

Lattice parameters (Å, degrees): 3.835 3.835 3.708 90.00 90.00 90.00
Space group P4/mmm (No. 123)
Unique sites:
Ga: 0.000 0.000 0.000 (multiplicity 1)
H: 0.000 0.500 0.500 (multiplicity 2)
Os: 0.500 0.500 0.000 (multiplicity 1)
O: 0.500 0.500 0.500 (multiplicity 1)

Output
Total energy = -21.8 eV per cell
Crystal system = tetragonal
Spin magnetization = 0.000 μB/atom

19.
Entry from the Alexandria database: a geometry-optimized ReHg3Pt structure (PBE).

Lattice parameters (Å, degrees): 5.242 5.242 5.242 90.00 90.00 90.00
Space group Pm-3m (No. 221)
Unique sites:
Re: 0.000 0.000 0.000 (multiplicity 1)
Hg: 0.000 0.000 0.500 (multiplicity 3)
Pt: 0.500 0.500 0.500 (multiplicity 1)

Output
Formation enthalpy at 0 K = 1.51 eV/atom
Total energy = -11.9 eV per cell
Crystal system = cubic
Spin magnetization = 0.566 μB/atom
Offset from the most stable computed form = 4.75 kcal/mol of atoms

20.
Entry from the Alexandria database: a geometry-optimized Pr6Si2I3Br structure (PBE).

Lattice parameters (Å, degrees): 7.573 13.132 8.106 90.00 108.09 90.00
Space group C2/m (No. 12)
Unique sites:
Pr: 0.213 0.000 0.197 (multiplicity 4)
Pr: 0.242 0.324 0.199 (multiplicity 8)
Si: 0.000 0.167 0.000 (multiplicity 4)
I: 0.000 0.000 0.500 (multiplicity 2)
I: 0.000 0.335 0.500 (multiplicity 4)
Br: 0.000 0.500 0.000 (multiplicity 2)

Output
Total energy = -115.7 eV per cell
Crystal system = monoclinic
ΔE_f (raw) = -1.000 eV/atom
Spin magnetization = 0.000 μB/atom